No. 1
A geometry-optimized La2PrNdP4 structure, computed with GGA-PBE.

The space group is P2/m (No. 10) and the conventional cell measures 7.3251, 4.2326 and 7.3284 Å, with angles of 90.00, 109.43 and 90.00 degrees. Symmetry generates all atoms from La at (0.0000, 0.0000, 0.0000), La at (0.5000, 0.5000, 0.0000), Pr at (0.0000, 0.5000, 0.5000), Nd at (0.5000, 0.0000, 0.5000), P at (0.2500, 0.0000, 0.7471) and P at (0.2521, 0.5000, 0.2536).

Its formation energy from the elements is -1.551 eV/atom. For the electronic total energy, the calculation gives -53.5 eV per cell. The value obtained for the size of the total moment is 0.00 μB per cell.

***

No. 2
A geometry-optimized La2NdPuP4 structure, computed with GGA-PBE.

The space group is P2/m (No. 10) and the conventional cell measures 7.2259, 4.1826 and 7.2369 Å, with angles of 90.00, 109.46 and 90.00 degrees. Symmetry generates all atoms from La at (0.0000, 0.0000, 0.0000), La at (0.5000, 0.5000, 0.0000), Nd at (0.0000, 0.5000, 0.5000), Pu at (0.5000, 0.0000, 0.5000), P at (0.2536, 0.0000, 0.7405) and P at (0.2619, 0.5000, 0.2652).

Its formation energy from the elements is -1.433 eV/atom. For the electronic total energy, the calculation gives -62.1 eV per cell. The value obtained for the size of the total moment is 4.87 μB per cell.

***

No. 3
A geometry-optimized LaNd2PuP4 structure, computed with GGA-PBE.

The space group is P2/m (No. 10) and the conventional cell measures 7.1844, 4.1568 and 7.1887 Å, with angles of 90.00, 109.48 and 90.00 degrees. Symmetry generates all atoms from La at (0.0000, 0.0000, 0.0000), Nd at (0.5000, 0.0000, 0.5000), Nd at (0.5000, 0.5000, 0.0000), Pu at (0.0000, 0.5000, 0.5000), P at (0.2414, 0.0000, 0.7382) and P at (0.2479, 0.5000, 0.2580).

Its formation energy from the elements is -1.424 eV/atom. For the electronic total energy, the calculation gives -61.8 eV per cell. The value obtained for the size of the total moment is 4.88 μB per cell.

***

Which of these has the highest formation energy from the elements? LaNd2PuP4

***

Look up the formation energy from the elements of the third one. -1.424 eV/atom

***

Which of these has the lowest electronic total energy? La2NdPuP4

***

Which of these has the highest formation energy from the elements? LaNd2PuP4